[1]
# PBE KZr2Te, optimized geometry
data_KZr2Te
_chemical_formula_sum 'K1 Zr2 Te1'
_space_group_name_H-M_alt 'P m m 2'
_space_group_IT_number 25
_cell_length_a 3.653
_cell_length_b 3.732
_cell_length_c 8.972
_cell_angle_alpha 90.00
_cell_angle_beta 90.00
_cell_angle_gamma 90.00
loop_
_space_group_symop_operation_xyz
'x,y,z'
'-x,-y,z'
'-x,y,z'
'x,-y,z'
loop_
_atom_site_label
_atom_site_type_symbol
_atom_site_fract_x
_atom_site_fract_y
_atom_site_fract_z
K1 K 0.000 0.000 0.000
Zr1 Zr 0.000 0.000 0.541
Zr2 Zr 0.500 0.500 0.353
Te1 Te 0.500 0.500 0.705
# Crystal system: orthorhombic

[2]
# PBE VFe2Se, optimized geometry
data_VFe2Se
_chemical_formula_sum 'V4 Fe8 Se4'
_space_group_name_H-M_alt 'I -4 2 d'
_space_group_IT_number 122
_space_group_name_Hall 'I -4 2bw'
_cell_length_a 5.017
_cell_length_b 5.017
_cell_length_c 10.855
_cell_angle_alpha 90.00
_cell_angle_beta 90.00
_cell_angle_gamma 90.00
loop_
_atom_site_label
_atom_site_type_symbol
_atom_site_fract_x
_atom_site_fract_y
_atom_site_fract_z
V1 V 0.000 0.000 0.000
Fe1 Fe 0.240 0.250 0.125
Se1 Se 0.000 0.000 0.500
# Crystal system: tetragonal

Spin magnetization? In order: 0.00 0.00 μB/cell.
Formation energy from raw total energies? In order: -197 646 meV per atom.